# TlFe3P3

A relaxed structure of TlFe3P3 (GGA-PBE, Alexandria).

uncorrected energy: -6.434 eV per atom
density of states at the Fermi level: 5.0 states/eV/f.u.
DFT formation energy: -3.46 kcal/mol of atoms

a = 8.695 Å, b = 3.937 Å, c = 8.705 Å
α = 90.00°, β = 119.95°, γ = 90.00°
Space group P2_1/m (No. 11)
Symmetry-distinct sites (fractional):
Tl 0.167 0.250 0.334
Fe 0.311 0.750 0.859
Fe 0.358 0.250 0.047
Fe 0.453 0.250 0.812
P 0.170 0.250 0.752
P 0.252 0.750 0.082
P 0.418 0.750 0.670